1.
First-principles (PBE) data for a geometry-optimized ScCoAg structure, as listed in the Alexandria database.

Electronic total energy   -5.35 eV per atom
ΔH_f (0 K)   0.24 eV per formula unit

a b c (Å): 4.4253 4.4253 2.9010
angles (deg): 90.00 90.00 120.00
With the nearest neighbours (Å) after each atom.
Fractional positions:
Sc1 0.0000 0.0000 0.0000  3 Co 2.69, 3 Ag 2.81, 2 Sc 2.90
Co1 0.3333 0.6667 0.7092  3 Sc 2.69, 3 Ag 2.70, 2 Co 2.90
Ag1 0.6667 0.3333 0.4073  3 Co 2.70, 3 Sc 2.81, 2 Ag 2.90


2.
First-principles (PBE) data for a geometry-optimized Sc3CoAg structure, as listed in the Alexandria database.

Electronic total energy   -6.03 eV per atom
ΔH_f (0 K)   -1.21 eV per formula unit

a b c (Å): 5.3771 5.3771 8.6752
angles (deg): 115.79 115.79 65.76
With the nearest neighbours (Å) after each atom.
Fractional positions:
Sc1 0.0804 0.0804 0.2783  2 Co 2.58, 2 Ag 2.87
Sc2 0.3009 0.3009 0.1018  4 Co 2.79, 2 Sc 3.08
Sc3 0.3023 0.3023 0.7206  2 Co 2.59, 2 Ag 2.88
Sc4 0.6977 0.6977 0.2794  2 Co 2.59, 2 Ag 2.88
Sc5 0.6991 0.6991 0.8982  4 Co 2.79, 2 Sc 3.08
Sc6 0.9196 0.9196 0.7217  2 Co 2.58, 2 Ag 2.87
Co1 0.2502 0.7498 0.0000  8 Sc 2.58-2.79
Co2 0.7498 0.2502 0.0000  8 Sc 2.58-2.79
Ag1 0.2756 0.7244 0.5000  1 Ag 2.62, 4 Sc 2.87-2.88
Ag2 0.7244 0.2756 0.5000  1 Ag 2.62, 4 Sc 2.87-2.88


3.
First-principles (PBE) data for a geometry-optimized ScCoAg3 structure, as listed in the Alexandria database.

Electronic total energy   -3.70 eV per atom
ΔH_f (0 K)   3.47 eV per formula unit

a b c (Å): 4.7398 4.7398 4.7398
angles (deg): 90.00 90.00 90.00
With the nearest neighbours (Å) after each atom.
Fractional positions:
Sc1 0.0000 0.0000 0.0000  12 Ag 3.35
Co1 0.5000 0.5000 0.5000  6 Ag 2.37
Ag1 0.0000 0.5000 0.5000  2 Co 2.37
Ag2 0.5000 0.0000 0.5000  2 Co 2.37
Ag3 0.5000 0.5000 0.0000  2 Co 2.37


4.
First-principles (PBE) data for a geometry-optimized Sc2CoAg structure, as listed in the Alexandria database.

Electronic total energy   -5.89 eV per atom
ΔH_f (0 K)   -0.93 eV per formula unit

a b c (Å): 4.6367 4.6367 3.3098
angles (deg): 90.00 90.00 90.00
With the nearest neighbours (Å) after each atom.
Fractional positions:
Sc1 0.0000 0.5000 0.0000  4 Ag 2.85, 4 Co 2.85
Sc2 0.5000 0.0000 0.0000  4 Ag 2.85, 4 Co 2.85
Co1 0.0000 0.0000 0.5000  8 Sc 2.85
Ag1 0.5000 0.5000 0.5000  8 Sc 2.85


5.
First-principles (PBE) data for a geometry-optimized ScCoAg4 structure, as listed in the Alexandria database.

Electronic total energy   -3.88 eV per atom
ΔH_f (0 K)   1.55 eV per formula unit

a b c (Å): 5.3999 5.3999 5.3999
angles (deg): 60.00 60.00 60.00
With the nearest neighbours (Å) after each atom.
Fractional positions:
Sc1 0.0000 0.0000 0.0000  12 Ag 3.17, 4 Co 3.31
Co1 0.2500 0.2500 0.2500  12 Ag 3.17, 4 Sc 3.31
Ag1 0.1257 0.6248 0.6248  6 Ag 2.69-2.71
Ag2 0.6248 0.1257 0.6248  6 Ag 2.69-2.71
Ag3 0.6248 0.6248 0.1257  6 Ag 2.69-2.71
Ag4 0.6248 0.6248 0.6248  6 Ag 2.69-2.71


6.
First-principles (PBE) data for a geometry-optimized ScCoAg3 structure, as listed in the Alexandria database.

Electronic total energy   -2.99 eV per atom
ΔH_f (0 K)   7.02 eV per formula unit

a b c (Å): 5.0650 5.0650 5.0650
angles (deg): 90.00 90.00 90.00
With the nearest neighbours (Å) after each atom.
Fractional positions:
Sc1 0.0000 0.0000 0.0000  6 Ag 2.53
Co1 0.5000 0.5000 0.5000  12 Ag 3.58
Ag1 0.0000 0.0000 0.5000  2 Sc 2.53
Ag2 0.0000 0.5000 0.0000  2 Sc 2.53
Ag3 0.5000 0.0000 0.0000  2 Sc 2.53


7.
First-principles (PBE) data for a geometry-optimized ScCo2Ag structure, as listed in the Alexandria database.

Electronic total energy   -5.74 eV per atom
ΔH_f (0 K)   0.45 eV per formula unit

a b c (Å): 4.4086 4.4086 4.4086
angles (deg): 60.00 60.00 60.00
With the nearest neighbours (Å) after each atom.
Fractional positions:
Sc1 0.0000 0.0000 0.0000  4 Ag 2.70, 4 Co 2.70
Co1 0.2500 0.2500 0.2500  4 Co 2.70, 4 Sc 2.70
Co2 0.5000 0.5000 0.5000  4 Co 2.70, 4 Ag 2.70
Ag1 0.7500 0.7500 0.7500  4 Co 2.70, 4 Sc 2.70


8.
First-principles (PBE) data for a geometry-optimized Sc2CoAg structure, as listed in the Alexandria database.

Electronic total energy   -5.62 eV per atom
ΔH_f (0 K)   0.16 eV per formula unit

a b c (Å): 4.5961 4.5961 4.5961
angles (deg): 60.00 60.00 60.00
With the nearest neighbours (Å) after each atom.
Fractional positions:
Sc1 0.0000 0.0000 0.0000  4 Ag 2.81, 4 Sc 2.81
Sc2 0.2500 0.2500 0.2500  4 Co 2.81, 4 Sc 2.81
Co1 0.5000 0.5000 0.5000  4 Sc 2.81, 4 Ag 2.81
Ag1 0.7500 0.7500 0.7500  4 Co 2.81, 4 Sc 2.81


9.
First-principles (PBE) data for a geometry-optimized Sc3CoAg structure, as listed in the Alexandria database.

Electronic total energy   -4.94 eV per atom
ΔH_f (0 K)   4.23 eV per formula unit

a b c (Å): 5.0934 5.0934 5.0934
angles (deg): 90.00 90.00 90.00
With the nearest neighbours (Å) after each atom.
Fractional positions:
Sc1 0.0000 0.0000 0.5000  2 Ag 2.55
Sc2 0.0000 0.5000 0.0000  2 Ag 2.55
Sc3 0.5000 0.0000 0.0000  2 Ag 2.55
Co1 0.5000 0.5000 0.5000  12 Sc 3.60
Ag1 0.0000 0.0000 0.0000  6 Sc 2.55


10.
First-principles (PBE) data for a geometry-optimized ScCoAg structure, as listed in the Alexandria database.

Electronic total energy   -5.25 eV per atom
ΔH_f (0 K)   0.54 eV per formula unit

a b c (Å): 4.2835 4.2835 4.2835
angles (deg): 60.00 60.00 60.00
With the nearest neighbours (Å) after each atom.
Fractional positions:
Sc1 0.0000 0.0000 0.0000  4 Co 2.62
Co1 0.7500 0.7500 0.7500  4 Ag 2.62, 4 Sc 2.62
Ag1 0.5000 0.5000 0.5000  4 Co 2.62


11.
First-principles (PBE) data for a geometry-optimized ScCo2Ag structure, as listed in the Alexandria database.

Electronic total energy   -5.51 eV per atom
ΔH_f (0 K)   1.35 eV per formula unit

a b c (Å): 8.6479 8.6479 8.6479
angles (deg): 19.04 19.04 19.04
With the nearest neighbours (Å) after each atom.
Fractional positions:
Sc1 0.0000 0.0000 0.0000  6 Co 2.61, 6 Sc 2.86
Co1 0.2541 0.2541 0.2541  3 Sc 2.61, 3 Ag 2.77, 6 Co 2.86
Co2 0.7459 0.7459 0.7459  3 Sc 2.61, 3 Ag 2.77, 6 Co 2.86
Ag1 0.5000 0.5000 0.5000  6 Co 2.77, 6 Ag 2.86


12.
First-principles (PBE) data for a geometry-optimized Sc6CoAg2 structure, as listed in the Alexandria database.

Electronic total energy   -5.83 eV per atom
ΔH_f (0 K)   -1.65 eV per formula unit

a b c (Å): 3.3853 8.1390 8.1390
angles (deg): 122.72 90.00 90.00
With the nearest neighbours (Å) after each atom.
Fractional positions:
Sc1 0.0000 0.0000 0.0000  2 Co 2.62
Sc2 0.0000 0.5390 0.7875  2 Co 2.53
Sc3 0.0000 0.7875 0.5390  2 Co 2.53
Sc4 0.5000 0.1856 0.7910  4 Ag 2.91-3.03, 2 Sc 3.22
Sc5 0.5000 0.3805 0.3805  1 Co 2.83, 4 Ag 3.00
Sc6 0.5000 0.7910 0.1856  4 Ag 2.91-3.03, 2 Sc 3.22
Co1 0.5000 0.7434 0.7434  7 Sc 2.53-2.83
Ag1 0.0000 0.1205 0.4514  9 Sc 2.91-3.25
Ag2 0.0000 0.4514 0.1205  9 Sc 2.91-3.25


13.
First-principles (PBE) data for a geometry-optimized Sc2CoAg structure, as listed in the Alexandria database.

Electronic total energy   -5.54 eV per atom
ΔH_f (0 K)   0.48 eV per formula unit

a b c (Å): 9.3370 9.3370 9.3370
angles (deg): 19.53 19.53 19.53
With the nearest neighbours (Å) after each atom.
Fractional positions:
Sc1 0.1035 0.1035 0.1035  3 Co 2.52
Sc2 0.8965 0.8965 0.8965  3 Co 2.52
Co1 0.5000 0.5000 0.5000  6 Sc 2.52
Ag1 0.0000 0.0000 0.0000  2 Sc 2.84, 6 Ag 3.17


14.
First-principles (PBE) data for a geometry-optimized Sc2CoAg2 structure, as listed in the Alexandria database.

Electronic total energy   -4.98 eV per atom
ΔH_f (0 K)   0.56 eV per formula unit

a b c (Å): 6.9266 6.9266 3.9703
angles (deg): 90.00 90.00 90.00
With the nearest neighbours (Å) after each atom.
Fractional positions:
Sc1 0.1753 0.3247 0.0000  6 Ag 2.71-2.95
Sc2 0.3247 0.8247 0.0000  6 Ag 2.71-2.95
Sc3 0.6753 0.1753 0.0000  6 Ag 2.71-2.95
Sc4 0.8247 0.6753 0.0000  6 Ag 2.71-2.95
Co1 0.0000 0.0000 0.5000  4 Ag 2.69
Co2 0.5000 0.5000 0.5000  4 Ag 2.69
Ag1 0.1367 0.6367 0.5000  1 Ag 2.68, 2 Co 2.69, 6 Sc 2.71-2.95
Ag2 0.3633 0.1367 0.5000  1 Ag 2.68, 2 Co 2.69, 6 Sc 2.71-2.95
Ag3 0.6367 0.8633 0.5000  1 Ag 2.68, 2 Co 2.69, 6 Sc 2.71-2.95
Ag4 0.8633 0.3633 0.5000  1 Ag 2.68, 2 Co 2.69, 6 Sc 2.71-2.95


15.
First-principles (PBE) data for a geometry-optimized Sc2CoAg structure, as listed in the Alexandria database.

Electronic total energy   -5.72 eV per atom
ΔH_f (0 K)   -0.24 eV per formula unit

a b c (Å): 5.3183 5.3183 5.3183
angles (deg): 136.34 136.34 63.45
With the nearest neighbours (Å) after each atom.
Fractional positions:
Sc1 0.0000 0.0000 0.0000  4 Co 2.80, 4 Sc 3.00, 4 Ag 3.00
Sc2 0.7500 0.2500 0.5000  4 Ag 2.80, 4 Co 3.00, 4 Sc 3.00
Co1 0.5000 0.5000 0.0000  8 Sc 2.80-3.00, 4 Ag 3.00
Ag1 0.2500 0.7500 0.5000  8 Sc 2.80-3.00, 4 Co 3.00


16.
First-principles (PBE) data for a geometry-optimized Sc2CoAg4 structure, as listed in the Alexandria database.

Electronic total energy   -3.98 eV per atom
ΔH_f (0 K)   3.33 eV per formula unit

a b c (Å): 7.7950 7.7950 7.7950
angles (deg): 144.59 144.59 50.94
With the nearest neighbours (Å) after each atom.
Fractional positions:
Sc1 0.1211 0.1211 0.0000  5 Ag 2.78-2.92
Sc2 0.8789 0.8789 0.0000  5 Ag 2.78-2.92
Co1 0.5000 0.5000 0.0000  6 Ag 2.37-2.56
Ag1 0.0000 0.5000 0.5000  2 Co 2.37
Ag2 0.3184 0.3184 0.0000  1 Co 2.56, 1 Sc 2.78
Ag3 0.5000 0.0000 0.5000  2 Co 2.37
Ag4 0.6816 0.6816 0.0000  1 Co 2.56, 1 Sc 2.78


17.
First-principles (PBE) data for a geometry-optimized Sc2CoAg structure, as listed in the Alexandria database.

Electronic total energy   -5.71 eV per atom
ΔH_f (0 K)   -0.22 eV per formula unit

a b c (Å): 3.5452 3.5452 5.9890
angles (deg): 90.00 90.00 90.00
With the nearest neighbours (Å) after each atom.
Fractional positions:
Sc1 0.0000 0.0000 0.0000  4 Co 2.61, 1 Ag 2.70
Sc2 0.5000 0.5000 0.3305  1 Co 2.69, 4 Ag 2.83
Co1 0.5000 0.5000 0.8808  5 Sc 2.61-2.69
Ag1 0.0000 0.0000 0.5489  5 Sc 2.70-2.83


18.
First-principles (PBE) data for a geometry-optimized ScCo2Ag structure, as listed in the Alexandria database.

Electronic total energy   -5.80 eV per atom
ΔH_f (0 K)   0.21 eV per formula unit

a b c (Å): 4.8130 4.8130 4.8130
angles (deg): 132.78 132.78 68.99
With the nearest neighbours (Å) after each atom.
Fractional positions:
Sc1 0.0000 0.0000 0.0000  8 Co 2.73-2.77, 4 Ag 2.77
Co1 0.5000 0.5000 0.0000  4 Sc 2.73, 4 Co 2.77, 4 Ag 2.77
Co2 0.7500 0.2500 0.5000  4 Ag 2.73, 4 Co 2.77, 4 Sc 2.77
Ag1 0.2500 0.7500 0.5000  8 Co 2.73-2.77, 4 Sc 2.77


19.
First-principles (PBE) data for a geometry-optimized Sc5Co2Ag structure, as listed in the Alexandria database.

Electronic total energy   -6.37 eV per atom
ΔH_f (0 K)   -2.26 eV per formula unit

a b c (Å): 7.9251 7.9251 7.9251
angles (deg): 126.87 126.87 78.46
With the nearest neighbours (Å) after each atom.
Fractional positions:
Sc1 0.0000 0.0000 0.0000  4 Co 2.75, 2 Ag 3.07
Sc2 0.0235 0.5235 0.8168  3 Co 2.63-2.68
Sc3 0.2067 0.0235 0.5000  3 Co 2.63-2.68
Sc4 0.2933 0.7933 0.8168  3 Co 2.63-2.68
Sc5 0.4765 0.2933 0.5000  3 Co 2.63-2.68
Sc6 0.5000 0.5000 0.0000  4 Co 2.75, 2 Ag 3.07
Sc7 0.5235 0.7067 0.5000  3 Co 2.63-2.68
Sc8 0.7067 0.2067 0.1832  3 Co 2.63-2.68
Sc9 0.7933 0.9765 0.5000  3 Co 2.63-2.68
Sc10 0.9765 0.4765 0.1832  3 Co 2.63-2.68
Co1 0.1377 0.3623 0.5000  8 Sc 2.63-2.75, 1 Co 2.76
Co2 0.3623 0.8623 0.2246  8 Sc 2.63-2.75, 1 Co 2.76
Co3 0.6377 0.1377 0.7754  8 Sc 2.63-2.75, 1 Co 2.76
Co4 0.8623 0.6377 0.5000  8 Sc 2.63-2.75, 1 Co 2.76
Ag1 0.2500 0.2500 0.0000  10 Sc 3.02-3.07
Ag2 0.7500 0.7500 0.0000  10 Sc 3.02-3.07


20.
First-principles (PBE) data for a geometry-optimized ScCoAg structure, as listed in the Alexandria database.

Electronic total energy   -5.48 eV per atom
ΔH_f (0 K)   -0.15 eV per formula unit

a b c (Å): 5.2439 5.2439 5.2439
angles (deg): 143.98 143.98 51.85
With the nearest neighbours (Å) after each atom.
Fractional positions:
Sc1 0.0000 0.0000 0.0000  4 Co 2.64, 5 Ag 2.89-2.93
Co1 0.3611 0.3611 0.0000  4 Sc 2.64, 4 Ag 2.78
Ag1 0.6936 0.6936 0.0000  4 Co 2.78, 5 Sc 2.89-2.93